TlTc2As after structural relaxation, computed with PBE.

Values from the calculation:
**E above lowest polymorph**: 152 meV per atom
**Magnetization**: 0.00 μB per formula unit
**Raw total energy**: -6.607 eV/atom
**Crystal system**: trigonal
**ΔH_f (0 K)**: 0.33 eV/atom
**ρ**: 10.94 g cm⁻³

Unit cell a=3.038 b=3.038 c=27.078 alpha=90.00 beta=90.00 gamma=120.00
Sites, in units of the cell vectors:
Tl1 0.000 0.000 0.000
Tl2 0.333 0.667 0.667
Tl3 0.667 0.333 0.333
Tc1 0.000 0.000 0.244
Tc2 0.000 0.000 0.503
Tc3 0.333 0.667 0.169
Tc4 0.333 0.667 0.911
Tc5 0.667 0.333 0.578
Tc6 0.667 0.333 0.836
As1 0.000 0.000 0.769
As2 0.333 0.667 0.435
As3 0.667 0.333 0.102

---

Cr2ReSb after structural relaxation, computed with PBE.

Values from the calculation:
**Magnetization**: 0.48 μB per formula unit
**Raw total energy**: -8.514 eV/atom
**Crystal system**: orthorhombic
**ρ**: 11.22 g cm⁻³

Unit cell a=2.934 b=3.912 c=5.310 alpha=90.00 beta=90.00 gamma=90.00
Sites, in units of the cell vectors:
Cr1 0.000 0.000 0.000
Cr2 0.500 0.500 0.230
Re1 0.000 0.000 0.426
Sb1 0.500 0.500 0.736

---

Er3FeAg after structural relaxation, computed with PBE.

Values from the calculation:
**Magnetization**: 0.58 μB per formula unit
**Raw total energy**: -5.120 eV/atom
**Crystal system**: monoclinic
**ΔH_f (0 K)**: -0.12 eV/atom
**ρ**: 9.33 g cm⁻³

Unit cell a=5.856 b=5.856 c=8.751 alpha=113.24 beta=113.24 gamma=62.95
Sites, in units of the cell vectors:
Er1 0.024 0.024 0.222
Er2 0.294 0.294 0.675
Er3 0.311 0.311 0.131
Er4 0.689 0.689 0.869
Er5 0.706 0.706 0.325
Er6 0.976 0.976 0.778
Fe1 0.318 0.682 0.000
Fe2 0.682 0.318 0.000
Ag1 0.276 0.724 0.500
Ag2 0.724 0.276 0.500

---

CdReCl2 after structural relaxation, computed with PBE.

Values from the calculation:
**E above lowest polymorph**: 24 meV per atom
**Magnetization**: 0.00 μB per formula unit
**Raw total energy**: -4.211 eV/atom
**Crystal system**: trigonal
**ρ**: 7.67 g cm⁻³

Unit cell a=3.293 b=3.293 c=25.573 alpha=90.00 beta=90.00 gamma=120.00
Sites, in units of the cell vectors:
Cd1 0.000 0.000 0.000
Cd2 0.333 0.667 0.667
Cd3 0.667 0.333 0.333
Re1 0.000 0.000 0.245
Re2 0.333 0.667 0.912
Re3 0.667 0.333 0.578
Cl1 0.000 0.000 0.524
Cl2 0.000 0.000 0.740
Cl3 0.333 0.667 0.191
Cl4 0.333 0.667 0.406
Cl5 0.667 0.333 0.073
Cl6 0.667 0.333 0.858

---

OsCCl2 after structural relaxation, computed with PBE.

Values from the calculation:
**E above lowest polymorph**: 454 meV per atom
**Magnetization**: 0.00 μB per formula unit
**Raw total energy**: -3.756 eV/atom
**Crystal system**: cubic
**ρ**: 8.25 g cm⁻³

Unit cell a=6.036 b=6.036 c=6.036 alpha=90.00 beta=90.00 gamma=90.00
Sites, in units of the cell vectors:
Os1 0.000 0.000 0.000
Os2 0.000 0.500 0.500
Os3 0.500 0.000 0.500
Os4 0.500 0.500 0.000
C1 0.000 0.000 0.500
C2 0.000 0.500 0.000
C3 0.500 0.000 0.000
C4 0.500 0.500 0.500
Cl1 0.250 0.250 0.250
Cl2 0.250 0.250 0.750
Cl3 0.250 0.750 0.250
Cl4 0.250 0.750 0.750
Cl5 0.750 0.250 0.250
Cl6 0.750 0.250 0.750
Cl7 0.750 0.750 0.250
Cl8 0.750 0.750 0.750

---

ZrFeBIr2 after structural relaxation, computed with PBE.

Values from the calculation:
**Magnetization**: 1.00 μB per formula unit
**Raw total energy**: -8.793 eV/atom
**Crystal system**: tetragonal
**ΔH_f (0 K)**: -0.51 eV/atom
**ρ**: 13.08 g cm⁻³

Unit cell a=4.125 b=4.125 c=4.048 alpha=90.00 beta=90.00 gamma=90.00
Sites, in units of the cell vectors:
Zr1 0.000 0.000 0.000
Fe1 0.500 0.500 0.000
B1 0.500 0.500 0.500
Ir1 0.000 0.500 0.500
Ir2 0.500 0.000 0.500

---

Cd2Ag3Cl7 after structural relaxation, computed with PBE.

Values from the calculation:
**Magnetization**: 0.00 μB per formula unit
**Raw total energy**: -2.678 eV/atom
**Crystal system**: orthorhombic
**ρ**: 4.52 g cm⁻³

Unit cell a=12.648 b=12.648 c=6.910 alpha=90.00 beta=90.00 gamma=31.96
Sites, in units of the cell vectors:
Cd1 0.144 0.648 0.500
Cd2 0.352 0.856 0.500
Cd3 0.648 0.144 0.000
Cd4 0.856 0.352 0.000
Ag1 0.032 0.571 0.944
Ag2 0.257 0.743 0.050
Ag3 0.429 0.968 0.944
Ag4 0.571 0.032 0.444
Ag5 0.743 0.257 0.550
Ag6 0.968 0.429 0.444
Cl1 0.009 0.841 0.830
Cl2 0.073 0.339 0.078
Cl3 0.159 0.991 0.830
Cl4 0.289 0.442 0.181
Cl5 0.339 0.073 0.578
Cl6 0.370 0.630 0.416
Cl7 0.442 0.289 0.681
Cl8 0.558 0.711 0.181
Cl9 0.630 0.370 0.916
Cl10 0.661 0.927 0.078
Cl11 0.711 0.558 0.681
Cl12 0.841 0.009 0.330
Cl13 0.927 0.661 0.578
Cl14 0.991 0.159 0.330

---

MnTlOs2 after structural relaxation, computed with PBE.

Values from the calculation:
**E above lowest polymorph**: 277 meV per atom
**Magnetization**: 2.21 μB per formula unit
**Raw total energy**: -7.738 eV/atom
**Crystal system**: cubic
**ΔH_f (0 K)**: 0.76 eV/atom
**ρ**: 16.90 g cm⁻³

Unit cell a=6.312 b=6.312 c=6.312 alpha=90.00 beta=90.00 gamma=90.00
Sites, in units of the cell vectors:
Mn1 0.000 0.000 0.000
Mn2 0.000 0.500 0.500
Mn3 0.500 0.000 0.500
Mn4 0.500 0.500 0.000
Tl1 0.000 0.000 0.500
Tl2 0.000 0.500 0.000
Tl3 0.500 0.000 0.000
Tl4 0.500 0.500 0.500
Os1 0.250 0.250 0.250
Os2 0.250 0.250 0.750
Os3 0.250 0.750 0.250
Os4 0.250 0.750 0.750
Os5 0.750 0.250 0.250
Os6 0.750 0.250 0.750
Os7 0.750 0.750 0.250
Os8 0.750 0.750 0.750

---

BaNi2RhAu after structural relaxation, computed with PBE.

Values from the calculation:
**Magnetization**: 0.00 μB per formula unit
**Raw total energy**: -2.888 eV/atom
**Crystal system**: tetragonal
**ΔH_f (0 K)**: 1.94 eV/atom
**ρ**: 7.14 g cm⁻³

Unit cell a=4.767 b=4.767 c=5.676 alpha=90.00 beta=90.00 gamma=90.00
Sites, in units of the cell vectors:
Ba1 0.000 0.000 0.000
Ni1 0.000 0.500 0.000
Ni2 0.500 0.000 0.000
Rh1 0.500 0.500 0.500
Au1 0.000 0.000 0.500

---

Al4P2Pt after structural relaxation, computed with PBE.

Values from the calculation:
**Magnetization**: 0.00 μB per formula unit
**Raw total energy**: -4.546 eV/atom
**Crystal system**: tetragonal
**ΔH_f (0 K)**: 0.00 eV/atom
**ρ**: 4.16 g cm⁻³

Unit cell a=4.808 b=4.808 c=12.600 alpha=90.00 beta=90.00 gamma=90.00
Sites, in units of the cell vectors:
Al1 0.000 0.000 0.190
Al2 0.000 0.000 0.810
Al3 0.000 0.500 0.000
Al4 0.000 0.500 0.500
Al5 0.500 0.000 0.000
Al6 0.500 0.000 0.500
Al7 0.500 0.500 0.310
Al8 0.500 0.500 0.690
P1 0.000 0.000 0.371
P2 0.000 0.000 0.629
P3 0.500 0.500 0.129
P4 0.500 0.500 0.871
Pt1 0.000 0.000 0.000
Pt2 0.500 0.500 0.500

---

DySiOs after structural relaxation, computed with PBE.

Values from the calculation:
**Magnetization**: 0.00 μB per formula unit
**Raw total energy**: -7.596 eV/atom
**Crystal system**: hexagonal
**ρ**: 10.72 g cm⁻³

Unit cell a=4.116 b=4.116 c=4.022 alpha=90.00 beta=90.00 gamma=120.00
Sites, in units of the cell vectors:
Dy1 0.000 0.000 0.000
Si1 0.333 0.667 0.500
Os1 0.667 0.333 0.500

---

SrLaSb3 after structural relaxation, computed with PBE.

Values from the calculation:
**Magnetization**: 0.00 μB per formula unit
**Raw total energy**: -3.621 eV/atom
**Crystal system**: cubic
**ρ**: 5.02 g cm⁻³

Unit cell a=5.808 b=5.808 c=5.808 alpha=90.00 beta=90.00 gamma=90.00
Sites, in units of the cell vectors:
Sr1 0.000 0.000 0.000
La1 0.500 0.500 0.500
Sb1 0.000 0.000 0.500
Sb2 0.000 0.500 0.000
Sb3 0.500 0.000 0.000

---

> Which formula does entry 7 have?

Cd2Ag3Cl7